[1]
{
  "formula": "LaCdBiAu",
  "functional": "PBE",
  "state": "optimized geometry",
  "crystal_system": "cubic",
  "lattice": [[-1.108, -2.995, 4.295], [-4.083, -3.457, -0.130], [0.953, -5.265, -0.091]],
  "species": ["La", "Cd", "Au", "Bi"],
  "fractional_positions": [[0.500, 0.500, 0.500], [0.000, 0.000, 0.000], [0.750, 0.750, 0.750], [0.250, 0.250, 0.250]]
}



[2]
{
  "formula": "Li2CdBiAu",
  "functional": "PBE",
  "state": "optimized geometry",
  "crystal_system": "orthorhombic",
  "lattice": [[5.025, 0.000, 0.000], [0.000, 5.720, 0.000], [0.000, 0.000, 7.656]],
  "species": ["Au", "Au", "Li", "Li", "Li", "Li", "Cd", "Cd", "Bi", "Bi"],
  "fractional_positions": [[0.512, 0.750, 0.000], [0.488, 0.250, 0.000], [0.681, 0.250, 0.309], [0.319, 0.750, 0.309], [0.319, 0.750, 0.691], [0.681, 0.250, 0.691], [0.000, 0.500, 0.000], [0.000, 0.000, 0.000], [0.174, 0.250, 0.500], [0.826, 0.750, 0.500]]
}



[3]
{
  "formula": "MgCdBi2Au",
  "functional": "PBE",
  "state": "optimized geometry",
  "crystal_system": "tetragonal",
  "lattice": [[-5.213, 1.245, -1.762], [-0.007, -4.116, -2.887], [-2.157, -2.991, 4.270]],
  "species": ["Cd", "Bi", "Bi", "Mg", "Au"],
  "fractional_positions": [[0.500, 0.500, 0.500], [0.500, 0.000, 0.000], [0.000, 0.000, 0.500], [0.000, 0.500, 0.000], [0.000, 0.000, 0.000]]
}



[4]
{
  "formula": "NaCdBiAu",
  "functional": "PBE",
  "state": "optimized geometry",
  "crystal_system": "cubic",
  "lattice": [[5.164, 0.000, 0.000], [2.582, 4.473, 0.000], [2.582, 1.491, 4.217]],
  "species": ["Na", "Bi", "Cd", "Au"],
  "fractional_positions": [[0.500, 0.500, 0.500], [0.000, 0.000, 0.000], [0.750, 0.750, 0.750], [0.250, 0.250, 0.250]]
}



[5]
{
  "formula": "NpCdBiAu",
  "functional": "PBE",
  "state": "optimized geometry",
  "crystal_system": "cubic",
  "lattice": [[5.204, 0.000, 0.000], [2.602, 4.507, 0.000], [2.602, 1.502, 4.249]],
  "species": ["Np", "Cd", "Au", "Bi"],
  "fractional_positions": [[0.500, 0.500, 0.500], [0.000, 0.000, 0.000], [0.750, 0.750, 0.750], [0.250, 0.250, 0.250]]
}



[6]
{
  "formula": "CdBiPbAu",
  "functional": "PBE",
  "state": "optimized geometry",
  "crystal_system": "trigonal",
  "lattice": [[-0.467, -4.780, -0.291], [2.568, -2.476, -3.229], [4.796, -3.046, 2.564]],
  "species": ["Pb", "Bi", "Cd", "Au"],
  "fractional_positions": [[0.818, 0.818, 0.546], [0.036, 0.036, 0.893], [0.247, 0.247, 0.260], [0.626, 0.626, 0.123]]
}



[7]
{
  "formula": "CdBiPdAu",
  "functional": "PBE",
  "state": "optimized geometry",
  "crystal_system": "cubic",
  "lattice": [[4.915, 0.000, 0.000], [2.457, 4.256, 0.000], [2.457, 1.419, 4.013]],
  "species": ["Bi", "Cd", "Pd", "Au"],
  "fractional_positions": [[0.250, 0.250, 0.250], [0.750, 0.750, 0.750], [0.500, 0.500, 0.500], [0.000, 0.000, 0.000]]
}



[8]
{
  "formula": "Cd2Bi2Pd7Au",
  "functional": "PBE",
  "state": "optimized geometry",
  "crystal_system": "monoclinic",
  "lattice": [[3.865, -0.002, 0.017], [0.002, 3.865, 0.017], [1.852, 1.850, 15.826]],
  "species": ["Pd", "Pd", "Pd", "Pd", "Pd", "Pd", "Pd", "Bi", "Bi", "Cd", "Cd", "Au"],
  "fractional_positions": [[0.724, 0.724, 0.553], [0.276, 0.276, 0.447], [0.933, 0.433, 0.134], [0.567, 0.067, 0.866], [0.433, 0.933, 0.134], [0.067, 0.567, 0.866], [0.500, 0.500, 0.000], [0.809, 0.809, 0.378], [0.191, 0.191, 0.622], [0.631, 0.631, 0.740], [0.369, 0.369, 0.260], [0.000, 0.000, 0.000]]
}



| no. | VASP energy (Ha/atom) | magnetization (μB/f.u.) |
| --- | --- | --- |
| 1 | -0.1374 | 0.000 |
| 2 | -0.0976 | 0.000 |
| 3 | -0.0914 | 0.000 |
| 4 | -0.0905 | 0.000 |
| 5 | -0.1927 | 4.374 |
| 6 | -0.1086 | 0.000 |
| 7 | -0.1251 | 0.000 |
| 8 | -0.1547 | 0.000 |